P | First-principles (PBE) data for a geometry-optimized Mg2SiI structure, as listed in the Alexandria database.

Lattice parameters (Å, degrees): 7.790 7.790 7.790 130.02 130.02 73.38
Sites, in units of the cell vectors:
Mg 0.068 0.625 0.943
Mg 0.375 0.318 0.443
Mg 0.682 0.125 0.057
Mg 0.875 0.932 0.557
Si 0.000 0.000 0.000
Si 0.750 0.250 0.500
I 0.250 0.750 0.500
I 0.500 0.500 0.000

Summary:
Calculated volume = 33.83 Å³ per atom
Space-group type = I-42d (122)
Spin magnetization = 1.00 μB per formula unit

=====

Q | First-principles (PBE) data for a geometry-optimized Mg2SiI structure, as listed in the Alexandria database.

Lattice parameters (Å, degrees): 5.089 5.089 5.089 60.00 60.00 60.00
Sites, in units of the cell vectors:
Mg 0.250 0.250 0.250
Mg 0.750 0.750 0.750
Si 0.000 0.000 0.000
I 0.500 0.500 0.500

Summary:
Calculated volume = 23.30 Å³ per atom
Space-group type = Fm-3m (225)
Spin magnetization = 0.00 μB per formula unit

=====

Which structure loses on stability? Q does.

=====

P | First-principles (PBE) data for a geometry-optimized MgSnI2 structure, as listed in the Alexandria database.

Lattice parameters (Å, degrees): 7.099 7.099 7.099 105.94 105.94 116.80
Sites, in units of the cell vectors:
Mg 0.000 0.000 0.000
Mg 0.750 0.250 0.500
Sn 0.250 0.750 0.500
Sn 0.500 0.500 0.000
I 0.091 0.625 0.966
I 0.375 0.341 0.466
I 0.659 0.125 0.034
I 0.875 0.909 0.534

Summary:
Calculated volume = 34.00 Å³ per atom
Space-group type = I-42d (122)
Spin magnetization = 0.00 μB per formula unit

=====

Q | First-principles (PBE) data for a geometry-optimized MgSnI2 structure, as listed in the Alexandria database.

Lattice parameters (Å, degrees): 5.612 5.612 5.612 60.00 60.00 60.00
Sites, in units of the cell vectors:
Mg 0.000 0.000 0.000
Sn 0.500 0.500 0.500
I 0.250 0.250 0.250
I 0.750 0.750 0.750

Summary:
Calculated volume = 31.25 Å³ per atom
Space-group type = Fm-3m (225)
Spin magnetization = 0.00 μB per formula unit

=====

R | First-principles (PBE) data for a geometry-optimized MgSnI2 structure, as listed in the Alexandria database.

Lattice parameters (Å, degrees): 10.622 10.622 10.622 21.65 21.65 21.65
Sites, in units of the cell vectors:
Mg 0.000 0.000 0.000
Sn 0.500 0.500 0.500
I 0.391 0.391 0.391
I 0.609 0.609 0.609

Summary:
Calculated volume = 35.74 Å³ per atom
Space-group type = R-3m (166)
Spin magnetization = 0.00 μB per formula unit

=====

Which structure loses on stability? Q does.

=====

P | First-principles (PBE) data for a geometry-optimized MgSn2I6 structure, as listed in the Alexandria database.

Lattice parameters (Å, degrees): 8.766 8.766 11.094 107.49 107.49 29.21
Sites, in units of the cell vectors:
Mg 0.000 0.000 0.000
Sn 0.335 0.335 0.670
Sn 0.665 0.665 0.330
I 0.021 0.021 0.272
I 0.307 0.307 0.364
I 0.375 0.375 0.968
I 0.625 0.625 0.032
I 0.693 0.693 0.636
I 0.979 0.979 0.728

Summary:
Calculated volume = 43.94 Å³ per atom
Space-group type = C2/m (12)
Spin magnetization = 0.00 μB per formula unit

=====

Q | First-principles (PBE) data for a geometry-optimized MgSn2I6 structure, as listed in the Alexandria database.

Lattice parameters (Å, degrees): 7.412 7.412 13.786 90.00 90.00 90.00
Sites, in units of the cell vectors:
Mg 0.000 0.000 0.000
Mg 0.500 0.500 0.500
Sn 0.000 0.000 0.334
Sn 0.000 0.000 0.666
Sn 0.500 0.500 0.166
Sn 0.500 0.500 0.834
I 0.192 0.192 0.156
I 0.192 0.192 0.844
I 0.213 0.213 0.500
I 0.287 0.713 0.000
I 0.308 0.692 0.344
I 0.308 0.692 0.656
I 0.692 0.308 0.344
I 0.692 0.308 0.656
I 0.713 0.287 0.000
I 0.787 0.787 0.500
I 0.808 0.808 0.156
I 0.808 0.808 0.844

Summary:
Calculated volume = 42.08 Å³ per atom
Space-group type = P4_2/mnm (136)
Spin magnetization = 0.00 μB per formula unit

=====

Which structure loses on stability? Q does.